VASP calculation (PBE) on a geometry-optimized PmThSbPb structure.

Geometry as POSCAR:
```
PmThSbPb
1.0
0.000 3.898 3.898
3.898 0.000 3.898
3.898 3.898 0.000
Pm Th Sb Pb
1 1 1 1
direct
0.000 0.000 0.000 Pm
0.500 0.500 0.500 Th
0.750 0.750 0.750 Sb
0.250 0.250 0.250 Pb
```

E_form (uncorrected) (eV/atom): -0.52
Distance to the lowest polymorph of the same formula (meV per atom): 197
Fermi-level density of states (states/eV per atom): 1.392
Space-group type: No. 216
Total magnetization (μB per cell): 0.0

***

VASP calculation (PBE) on a geometry-optimized YCuNi structure.

Geometry as POSCAR:
```
YCuNi
1.0
0.000 3.075 3.075
3.075 0.000 3.075
3.075 3.075 0.000
Y Cu Ni
1 1 1
direct
0.000 0.000 0.000 Y
0.500 0.500 0.500 Cu
0.250 0.250 0.250 Ni
```

Energy (eV per atom): -5.55
Fermi-level density of states (states/eV per atom): 0.549
Space-group type: No. 216
Total magnetization (μB per cell): 0.0

***

VASP calculation (PBE) on a geometry-optimized KDyFe2I8 structure.

Geometry as POSCAR:
```
KDyFe2I8
1.0
6.127 -4.231 0.000
6.127 4.231 0.000
-0.558 0.000 10.367
K Dy Fe I
1 1 2 8
direct
0.000 0.000 0.000 K
0.000 0.000 0.500 Dy
0.370 0.370 0.720 Fe
0.630 0.630 0.280 Fe
0.245 0.742 0.288 I
0.247 0.247 0.504 I
0.258 0.755 0.712 I
0.289 0.289 0.940 I
0.711 0.711 0.060 I
0.742 0.245 0.288 I
0.753 0.753 0.496 I
0.755 0.258 0.712 I
```

E_form (uncorrected) (eV/atom): -0.71
Fermi-level density of states (states/eV per atom): 1.033
Space-group type: No. 12
Total magnetization (μB per cell): 8.0

***

VASP calculation (PBE) on a geometry-optimized BaTaMn2 structure.

Geometry as POSCAR:
```
BaTaMn2
1.0
-2.212 2.875 3.742
2.212 -2.875 3.742
2.212 2.875 -3.742
Ba Ta Mn
1 1 2
direct
0.000 0.000 0.000 Ba
0.500 0.500 0.000 Ta
0.310 0.810 0.500 Mn
0.690 0.190 0.500 Mn
```

Distance to the lowest polymorph of the same formula (meV per atom): 389
Fermi-level density of states (states/eV per atom): 1.161
Space-group type: No. 71
Total magnetization (μB per cell): 4.9